Below is a relaxed structure of TaOs2Rh, with properties calculated at the PBE level.

Cell and atoms, written as POSCAR:
```
TaOs2Rh
1.0
9.149 0.000 0.000
0.000 2.793 0.000
-0.863 0.000 4.759
Ta Os Rh
2 4 2
Cartesian
0.000 0.000 0.000
4.574 1.396 0.000
1.640 0.000 3.489
2.072 1.396 1.269
6.214 1.396 3.489
6.646 0.000 1.269
-0.432 1.396 2.379
4.143 0.000 2.379
```

Properties
As for the density of states at the Fermi level: 7.9 states/eV per cell. Its energy above the most stable polymorph in this dataset is 171 meV per atom. As for the calculated formation energy: -0.1130 eV per atom. As for the symmetry: No. 12.